No. 1
# CaSi2Pd (PBE, relaxed)
data_CaSi2Pd
_chemical_formula_sum 'Ca2 Si4 Pd2'
_symmetry_space_group_name_H-M 'A m m 2'
_symmetry_Int_Tables_number 38
_cell_length_a 4.0773
_cell_length_b 6.2178
_cell_length_c 6.9199
_cell_angle_alpha 90.00
_cell_angle_beta 90.00
_cell_angle_gamma 90.00
loop_
_symmetry_equiv_pos_as_xyz
'x,y,z'
'-x,-y,z'
'-x,y,z'
'x,-y,z'
'x,y+1/2,z+1/2'
'-x,-y+1/2,z+1/2'
'-x,y+1/2,z+1/2'
'x,-y+1/2,z+1/2'
loop_
_atom_site_label
_atom_site_fract_x
_atom_site_fract_y
_atom_site_fract_z
Ca1 0.0000 0.0000 0.0000
Si1 0.5000 0.1790 0.6881
Pd1 0.5000 0.0000 0.3685
# **Electronic total energy**: -39.0 eV per cell
# **Total magnetization**: 0.000 μB/f.u.
# **Energy relative to the elements, uncorrected**: -0.36 eV per atom
# **Fermi-level density of states**: 0.46 states/eV per atom


No. 2
# Ca2Si6Pd21 (PBE, relaxed)
data_Ca2Si6Pd21
_chemical_formula_sum 'Ca8 Si24 Pd84'
_symmetry_space_group_name_H-M 'F m -3 m'
_symmetry_Int_Tables_number 225
_symmetry_space_group_name_Hall '-F 4 2 3'
_cell_length_a 12.2576
_cell_length_b 12.2576
_cell_length_c 12.2576
_cell_angle_alpha 90.00
_cell_angle_beta 90.00
_cell_angle_gamma 90.00
loop_
_atom_site_label
_atom_site_fract_x
_atom_site_fract_y
_atom_site_fract_z
Ca1 0.2500 0.2500 0.2500
Si1 0.0000 0.0000 0.2331
Pd1 0.0000 0.0000 0.5000
Pd2 0.0000 0.1714 0.3286
Pd3 0.1156 0.1156 0.1156
# **Electronic total energy**: -658.0 eV per cell
# **Total magnetization**: 0.000 μB/f.u.
# **Energy relative to the elements, uncorrected**: -0.65 eV per atom
# **Fermi-level density of states**: 0.70 states/eV per atom


No. 3
# CaSi4Pd2 (PBE, relaxed)
data_CaSi4Pd2
_chemical_formula_sum 'Ca1 Si4 Pd2'
_symmetry_space_group_name_H-M 'P -1'
_symmetry_Int_Tables_number 2
_cell_length_a 3.8897
_cell_length_b 4.1926
_cell_length_c 7.5692
_cell_angle_alpha 97.90
_cell_angle_beta 102.13
_cell_angle_gamma 91.44
loop_
_symmetry_equiv_pos_as_xyz
'x,y,z'
'-x,-y,-z'
loop_
_atom_site_label
_atom_site_fract_x
_atom_site_fract_y
_atom_site_fract_z
Ca1 0.0000 0.0000 0.0000
Si1 0.1632 0.5834 0.3616
Si2 0.4146 0.4538 0.8365
Pd1 0.4270 0.9067 0.6613
# **Electronic total energy**: -37.0 eV per cell
# **Total magnetization**: 0.000 μB/f.u.
# **Energy relative to the elements, uncorrected**: -0.41 eV per atom
# **Fermi-level density of states**: 0.27 states/eV per atom


No. 4
# CaSiPd5 (PBE, relaxed)
data_CaSiPd5
_chemical_formula_sum 'Ca1 Si1 Pd5'
_symmetry_space_group_name_H-M 'P 4/m m m'
_symmetry_Int_Tables_number 123
_symmetry_space_group_name_Hall '-P 4 2'
_cell_length_a 4.0325
_cell_length_b 4.0325
_cell_length_c 7.2020
_cell_angle_alpha 90.00
_cell_angle_beta 90.00
_cell_angle_gamma 90.00
loop_
_atom_site_label
_atom_site_fract_x
_atom_site_fract_y
_atom_site_fract_z
Ca1 0.0000 0.0000 0.0000
Si1 0.5000 0.5000 0.5000
Pd1 0.0000 0.5000 0.3038
Pd2 0.5000 0.5000 0.0000
# **Electronic total energy**: -37.7 eV per cell
# **Total magnetization**: 0.000 μB/f.u.
# **Energy relative to the elements, uncorrected**: -0.62 eV per atom
# **Fermi-level density of states**: 0.42 states/eV per atom


Copy entry 2 word for word.
# Ca2Si6Pd21 (PBE, relaxed)
data_Ca2Si6Pd21
_chemical_formula_sum 'Ca8 Si24 Pd84'
_symmetry_space_group_name_H-M 'F m -3 m'
_symmetry_Int_Tables_number 225
_symmetry_space_group_name_Hall '-F 4 2 3'
_cell_length_a 12.2576
_cell_length_b 12.2576
_cell_length_c 12.2576
_cell_angle_alpha 90.00
_cell_angle_beta 90.00
_cell_angle_gamma 90.00
loop_
_atom_site_label
_atom_site_fract_x
_atom_site_fract_y
_atom_site_fract_z
Ca1 0.2500 0.2500 0.2500
Si1 0.0000 0.0000 0.2331
Pd1 0.0000 0.0000 0.5000
Pd2 0.0000 0.1714 0.3286
Pd3 0.1156 0.1156 0.1156
# **Electronic total energy**: -658.0 eV per cell
# **Total magnetization**: 0.000 μB/f.u.
# **Energy relative to the elements, uncorrected**: -0.65 eV per atom
# **Fermi-level density of states**: 0.70 states/eV per atom


The lowest energy relative to the elements, uncorrected belongs to which entry?
Ca2Si6Pd21